# 1
VASP calculation (PBE) on a geometry-optimized Tc2Ir4Rh5 structure.

Values from the calculation:
Its energy relative to the elements is 46 meV per atom. For the calculated density, the calculation gives 15.1 g/cm3.

abc: 2.7184 6.7987 8.8036
angles: 85.34 90.00 90.00
Fractional positions:
Tc 0.0000 0.0645 0.3641
Tc 0.0000 0.9355 0.6359
Rh 0.0000 0.5000 0.0000
Rh 0.0000 0.4366 0.3026
Rh 0.0000 0.5634 0.6974
Rh 0.0000 0.8260 0.1560
Rh 0.0000 0.1740 0.8440
Ir 0.5000 0.1838 0.1129
Ir 0.5000 0.2725 0.5659
Ir 0.5000 0.8162 0.8871
Ir 0.5000 0.7275 0.4341

***

# 2
VASP calculation (PBE) on a geometry-optimized CdGa2N structure.

Values from the calculation:
For the calculated density, the calculation gives 6.0 g/cm3. The electronic total energy comes out at -3.66 eV per atom.

abc: 5.9170 5.9170 5.9280
angles: 60.06 60.06 90.00
Fractional positions:
Cd 0.7500 0.2500 0.5000
Cd 0.0000 0.0000 0.0000
N 0.2500 0.7500 0.5000
N 0.5000 0.5000 0.0000
Ga 0.8750 0.7761 0.7500
Ga 0.5261 0.1250 0.2500
Ga 0.3750 0.4739 0.7500
Ga 0.2239 0.6250 0.2500

***

# 3
VASP calculation (PBE) on a geometry-optimized KIrW structure.

Values from the calculation:
Its energy relative to the elements is 672 meV per atom. For the calculated density, the calculation gives 9.6 g/cm3.

abc: 6.9053 6.9053 6.9053
angles: 156.76 146.50 41.17
Fractional positions:
Ir 0.0454 0.0454 0.0000
W 0.6155 0.6155 0.0000
K 0.3391 0.3391 0.0000

***

# 4
VASP calculation (PBE) on a geometry-optimized TlSb2Br structure.

Values from the calculation:
For the calculated density, the calculation gives 7.5 g/cm3. The electronic total energy comes out at -3.07 eV per atom.

abc: 3.5151 5.5674 5.9565
angles: 90.00 90.00 90.00
Fractional positions:
Tl 0.5000 0.0000 0.5000
Br 0.0000 0.5000 0.5000
Sb 0.5000 0.5000 0.0000
Sb 0.0000 0.0000 0.0000

***

# 5
VASP calculation (PBE) on a geometry-optimized YCd2Pb structure.

Values from the calculation:
Its energy relative to the elements is -186 meV per atom. For the calculated density, the calculation gives 8.1 g/cm3.

abc: 5.4108 3.2927 5.9695
angles: 90.06 90.00 90.00
Fractional positions:
Cd 0.0000 0.2505 0.9879
Cd 0.0000 0.2495 0.5121
Y 0.5000 0.7500 0.7500
Pb 0.5000 0.2500 0.2500

***

# 6
VASP calculation (PBE) on a geometry-optimized Ga4Ir3Rh structure.

Values from the calculation:
Its energy relative to the elements is -469 meV per atom. For the calculated density, the calculation gives 14.0 g/cm3.

abc: 4.3298 6.0775 8.6599
angles: 90.00 90.00 90.00
Fractional positions:
Ga 0.5000 0.2518 0.0000
Ga 0.0003 0.2519 0.2500
Ga 0.5000 0.7482 0.5000
Ga 0.9997 0.2519 0.7500
Ga 0.9997 0.7481 0.7500
Ga 0.5000 0.2518 0.5000
Ga 0.0003 0.7481 0.2500
Ga 0.5000 0.7482 0.0000
Ir 0.4997 0.5000 0.7500
Ir 0.5002 0.0000 0.2500
Ir 0.4998 0.0000 0.7500
Ir 0.0000 0.0000 0.0000
Ir 0.5003 0.5000 0.2500
Ir 0.0000 0.0000 0.5000
Rh 0.0000 0.5000 0.0000
Rh 0.0000 0.5000 0.5000